## PrCoP2 (PBE)

Data for crystalline PrCoP2 at its relaxed geometry.

Properties
The value obtained for the density of states at the Fermi level is 0.60 states/eV/atom. The value obtained for the total energy is -26.3 eV/f.u.

Cell lengths 3.937, 3.937, 9.260 Å; angles 90.00, 90.00, 90.00 degrees
Space group I-4m2 (No. 119)
Symmetry-distinct sites (fractional):
Pr1 0.000 0.000 0.000 x2
Co1 0.000 0.500 0.750 x2
P1 0.000 0.000 0.365 x4